Record 1
A plane-wave DFT calculation with PBE-GGA was carried out for a relaxed structure of Dy2Er7Tm3.

Properties
* excess energy over the best structure of this formula in the dataset: 0 meV/atom
* formation enthalpy at 0 K: 0.117 eV/atom
* space group: No. 65

a b c (Å): 3.5490 5.6022 18.7322
angles (deg): 98.60 90.00 90.00
With the nearest neighbours (Å) after each atom.
Fractional positions:
Dy: 0.0000 0.8525 0.7050  3 Er 3.09-3.33
Dy: 0.0000 0.1475 0.2950  3 Er 3.09-3.33
Er: 0.0000 0.4087 0.8174  6 Er 3.40-3.55, 2 Dy 3.49
Er: 0.0000 0.7690 0.5380  1 Dy 3.09, 2 Er 3.13
Er: 0.0000 0.0000 0.0000  6 Er 3.19-3.55, 4 Tm 3.32
Er: 0.0000 0.5913 0.1826  6 Er 3.40-3.55, 2 Dy 3.49
Er: 0.5000 0.0715 0.1430  8 Er 3.19-3.55, 2 Dy 3.33
Er: 0.5000 0.9285 0.8570  8 Er 3.19-3.55, 2 Dy 3.33
Er: 0.0000 0.2310 0.4620  1 Dy 3.09, 2 Er 3.13
Tm: 0.5000 0.5000 0.0000  4 Er 3.32, 2 Tm 3.55
Tm: 0.5000 0.6850 0.3701  2 Tm 3.55, 8 Er 3.58-3.90, 4 Dy 3.60
Tm: 0.5000 0.3150 0.6299  2 Tm 3.55, 8 Er 3.58-3.90, 4 Dy 3.60

***

Record 2
A plane-wave DFT calculation with PBE-GGA was carried out for a relaxed structure of Cd2OsSe.

Properties
* space group: No. 38
* ΔE_f (raw): 0.244 eV per atom

a b c (Å): 3.1032 4.4845 6.5968
angles (deg): 70.12 90.00 90.00
With the nearest neighbours (Å) after each atom.
Fractional positions:
Cd: 0.0000 0.9402 0.9950  1 Os 2.74
Cd: 0.5000 0.2719 0.3312  4 Os 2.80, 2 Cd 3.10
Os: 0.0000 0.7195 0.4359  2 Se 2.43
Se: 0.5000 0.5684 0.7378  2 Os 2.43

***

Record 3
A plane-wave DFT calculation with PBE-GGA was carried out for a relaxed structure of LiNiSe2.

Properties
* space group: No. 8
* ΔE_f (raw): -0.429 eV per atom

a b c (Å): 7.0886 7.0886 3.6017
angles (deg): 89.73 89.73 23.12
With the nearest neighbours (Å) after each atom.
Fractional positions:
Li: 0.4528 0.4528 0.6304  6 Se 2.63-2.76, 2 Li 2.84
Ni: 0.2193 0.2193 0.1208  5 Se 2.41-2.46
Se: 0.0456 0.0456 0.1282  1 Ni 2.41, 4 Li 2.63
Se: 0.7822 0.7822 0.6205  4 Ni 2.45-2.46

***

Record 4
A plane-wave DFT calculation with PBE-GGA was carried out for a relaxed structure of LaNdPt2.

Properties
* excess energy over the best structure of this formula in the dataset: 141 meV/atom
* formation enthalpy at 0 K: -1.035 eV/atom
* space group: No. 160

a b c (Å): 4.1667 4.1667 7.5790
angles (deg): 74.04 74.04 60.00
With the nearest neighbours (Å) after each atom.
Fractional positions:
La: 0.4973 0.4973 0.5082  6 Pt 2.97-3.03
Nd: 0.6697 0.6697 0.9910  6 Pt 2.97-3.05
Pt: 0.0834 0.0834 0.7498  3 Nd 2.97, 3 La 2.97
Pt: 0.2497 0.2497 0.2509  3 La 3.03, 3 Nd 3.05

***

Repeat the fourth record exactly.
A plane-wave DFT calculation with PBE-GGA was carried out for a relaxed structure of LaNdPt2.

Properties
* excess energy over the best structure of this formula in the dataset: 141 meV/atom
* formation enthalpy at 0 K: -1.035 eV/atom
* space group: No. 160

a b c (Å): 4.1667 4.1667 7.5790
angles (deg): 74.04 74.04 60.00
With the nearest neighbours (Å) after each atom.
Fractional positions:
La: 0.4973 0.4973 0.5082  6 Pt 2.97-3.03
Nd: 0.6697 0.6697 0.9910  6 Pt 2.97-3.05
Pt: 0.0834 0.0834 0.7498  3 Nd 2.97, 3 La 2.97
Pt: 0.2497 0.2497 0.2509  3 La 3.03, 3 Nd 3.05

***

Please write out number 4 again, unchanged.
A plane-wave DFT calculation with PBE-GGA was carried out for a relaxed structure of LaNdPt2.

Properties
* excess energy over the best structure of this formula in the dataset: 141 meV/atom
* formation enthalpy at 0 K: -1.035 eV/atom
* space group: No. 160

a b c (Å): 4.1667 4.1667 7.5790
angles (deg): 74.04 74.04 60.00
With the nearest neighbours (Å) after each atom.
Fractional positions:
La: 0.4973 0.4973 0.5082  6 Pt 2.97-3.03
Nd: 0.6697 0.6697 0.9910  6 Pt 2.97-3.05
Pt: 0.0834 0.0834 0.7498  3 Nd 2.97, 3 La 2.97
Pt: 0.2497 0.2497 0.2509  3 La 3.03, 3 Nd 3.05